A crystal of NbP2HS relaxed with PBEsol. Source: Alexandria via LeMat-Bulk, functional meta-GGA SCAN.

As for the total energy: -12.74 eV per atom. As for the density of states at the Fermi level: 2.1 states/eV per cell. The value obtained for the theoretical density is 2.873 g cm⁻³.

It has space group P4/mmm (No. 123), with a = 4.805 Å, b = 4.805 Å, c = 4.705 Å, α = 90.00°, β = 90.00° and γ = 90.00°. Symmetry generates all atoms from Nb at (0.000, 0.000, 0.000), P at (0.000, 0.500, 0.000), H at (0.500, 0.500, 0.500) and S at (0.000, 0.000, 0.500).